No. 1
A plane-wave DFT calculation with PBE was carried out for a relaxed KNiAs2 crystal.

The structure in extended XYZ format:
```
4
Lattice="-2.1063 2.9041 4.3714 2.1063 -2.9041 4.3714 2.1063 2.9041 -4.3714" Properties=species:S:1:pos:R:3 pbc="T T T"
K 0.0000 0.0000 0.0000
Ni 2.1063 0.0000 3.9956
As 0.0000 0.0000 3.2172
As 0.0000 2.9041 1.8171
```

Calculated formation energy (meV per atom): 58

=====

No. 2
A plane-wave DFT calculation with PBE was carried out for a relaxed K2ErAs2S6 crystal.

The structure in extended XYZ format:
```
11
Lattice="5.8467 -3.5499 0.0000 5.8467 3.5499 0.0000 -3.8169 0.0000 7.3717" Properties=species:S:1:pos:R:3 pbc="T T T"
K 1.6706 0.0000 1.2804
K 6.2060 0.0000 6.0913
Er -1.9084 0.0000 3.6858
As 2.1871 0.0000 5.9358
As 5.6894 0.0000 1.4359
S 4.3787 1.8105 1.6021
S 0.6796 0.0000 4.2993
S 3.4979 1.8105 5.7696
S 4.3787 -1.8105 1.6021
S 7.1969 0.0000 3.0724
S 3.4979 -1.8105 5.7696
```

Calculated total energy (eV for the cell shown): -49.92

=====

No. 3
A plane-wave DFT calculation with PBE was carried out for a relaxed Li4Nd3Hg4 crystal.

The structure in extended XYZ format:
```
11
Lattice="-2.3156 3.8973 7.2833 2.3156 -3.8973 7.2833 2.3156 3.8973 -7.2833" Properties=species:S:1:pos:R:3 pbc="T T T"
Li 2.3156 -2.4457 4.6964
Li 0.0000 1.4516 2.5869
Li 2.3156 2.4457 4.6964
Li 0.0000 6.3430 2.5869
Nd 2.3156 0.0000 0.0000
Nd 0.0000 0.0000 5.5747
Nd 0.0000 0.0000 8.9919
Hg 2.3156 0.0000 3.2544
Hg 0.0000 2.3185 0.0000
Hg 0.0000 5.4761 0.0000
Hg 0.0000 3.8973 4.0289
```

Calculated formation energy (meV per atom): -337

=====

No. 4
A plane-wave DFT calculation with PBE was carried out for a relaxed LaTm2Mg2 crystal.

The structure in extended XYZ format:
```
10
Lattice="3.7610 0.0000 0.0000 0.0000 5.5080 0.0000 -1.8825 0.0000 13.9514" Properties=species:S:1:pos:R:3 pbc="T T T"
La 0.0015 1.3770 4.2015
La 1.8770 4.1310 9.7499
Tm -0.0005 4.1310 1.2775
Tm -0.0002 4.1310 6.6188
Tm 1.8787 1.3770 7.3326
Tm 1.8791 1.3770 12.6739
Mg -0.0018 1.3770 10.0294
Mg -0.0038 4.1310 12.5815
Mg 1.8823 1.3770 1.3699
Mg 1.8804 4.1310 3.9220
```

Calculated formation energy (meV per atom): -49

=====

Please write out number 4 again, unchanged.
A plane-wave DFT calculation with PBE was carried out for a relaxed LaTm2Mg2 crystal.

The structure in extended XYZ format:
```
10
Lattice="3.7610 0.0000 0.0000 0.0000 5.5080 0.0000 -1.8825 0.0000 13.9514" Properties=species:S:1:pos:R:3 pbc="T T T"
La 0.0015 1.3770 4.2015
La 1.8770 4.1310 9.7499
Tm -0.0005 4.1310 1.2775
Tm -0.0002 4.1310 6.6188
Tm 1.8787 1.3770 7.3326
Tm 1.8791 1.3770 12.6739
Mg -0.0018 1.3770 10.0294
Mg -0.0038 4.1310 12.5815
Mg 1.8823 1.3770 1.3699
Mg 1.8804 4.1310 3.9220
```

Calculated formation energy (meV per atom): -49

=====

> Which formula does entry 4 have?

LaTm2Mg2